First-principles (PBE) data for PrEuAu2 after structural relaxation, as listed in the Alexandria database.

## Properties
N(E_F), states/eV/f.u.: 12.71
Total DFT energy (no corrections), eV per atom: -6.09
Total moment, μB/atom: 1.787
Crystal system: trigonal
Symmetry: R-3m

Unit cell a=4.375 b=4.375 c=7.636 alpha=73.35 beta=73.35 gamma=60.00
Site moments in Bohr magnetons follow the coordinates.
Element x y z (fractional)
Eu (0.000, 0.000, 0.000)  6.83
Pr (0.500, 0.500, 0.500)  0.02
Au (0.752, 0.752, 0.743)  0.00
Au (0.248, 0.248, 0.257)  0.00